A geometry-optimized YScCd structure, computed with PBE-GGA.

Output
excess energy over the best structure of this formula in the dataset: 5.61 kJ per mole of atoms
energy: -14.2 eV per formula unit

abc: 11.192 5.031 6.438
angles: 90.00 120.85 90.00
Space group Cm (No. 8)
One atom of each set of equivalent atoms:
Y 0.000 0.000 0.000 x2
Y 0.141 0.500 0.808 x2
Sc 0.291 0.000 0.602 x2
Sc 0.428 0.500 0.433 x2
Cd 0.134 0.500 0.330 x2
Cd 0.330 0.000 0.123 x2